# Sc4Tl2ZnCd, relaxed, DFT PBE
data_Sc4Tl2ZnCd
_chemical_formula_sum 'Sc4 Tl2 Zn1 Cd1'
_space_group_name_H-M_alt 'P 1'
_space_group_IT_number 1
_space_group_name_Hall 'P 1'
_cell_length_a 4.9855
_cell_length_b 4.9855
_cell_length_c 8.6204
_cell_angle_alpha 73.19
_cell_angle_beta 73.19
_cell_angle_gamma 60.00
loop_
_atom_site_label
_atom_site_type_symbol
_atom_site_fract_x
_atom_site_fract_y
_atom_site_fract_z
_atom_site_occupancy
Sc1 Sc 0.3787 0.3787 0.8639 1
Sc2 Sc 0.1282 0.1282 0.6155 1
Sc3 Sc 0.8718 0.8718 0.3845 1
Sc4 Sc 0.6213 0.6213 0.1361 1
Zn1 Zn 0.5000 0.5000 0.5000 1
Tl1 Tl 0.7480 0.7480 0.7560 1
Tl2 Tl 0.2520 0.2520 0.2440 1
Cd1 Cd 0.0000 0.0000 0.0000 1
# Magnetic moment, Bohr magnetons per cell: 0.69
# DOS at the Fermi energy, states/eV/cell: 8.30
# Formation energy from the elements, meV/atom: -295
# Space-group type: No. 166